Zr2MoCl (PBE, optimized geometry); space-group type = C2/m (12); E above lowest polymorph = 467 meV/atom; formation energy (no corrections) = -0.032 eV per atom; total magnetic moment = 0.00 μB per formula unit
1.0
-3.9024 1.6007 -5.5214
4.2495 -3.0518 0.3057
-1.1270 -2.7897 -0.3679
Cl Mo Zr
1 1 2
Direct
0.0000 0.5000 0.5000
0.5000 0.5000 0.0000
0.0000 0.0000 0.0000
0.5000 0.0000 0.5000